VASP calculation (PBE) on Zr6Pd12Au after structural relaxation.

Summary:
space group: No. 148
energy relative to the elements: -0.542 eV/atom
uncorrected energy: -6.69 eV/atom

Unit cell a=7.0275 b=7.0275 c=7.0275 alpha=94.21 beta=94.21 gamma=94.21
Closest atoms and distances in Å follow each position.
Fractional coordinates of all 19 atoms:
Zr (0.2375, 0.6919, 0.8465)  6 Pd 2.69-2.97
Pd (0.5173, 0.2101, 0.4637)  5 Pd 2.63-2.93, 2 Zr 2.69-2.70
Zr (0.8465, 0.2375, 0.6919)  6 Pd 2.69-2.97
Pd (0.9557, 0.8694, 0.6246)  2 Pd 2.63-2.70, 1 Au 2.72, 3 Zr 2.77-2.85
Pd (0.3754, 0.0443, 0.1306)  2 Pd 2.63-2.70, 1 Au 2.72, 3 Zr 2.77-2.85
Pd (0.5363, 0.4827, 0.7899)  5 Pd 2.63-2.93, 2 Zr 2.69-2.70
Zr (0.6919, 0.8465, 0.2375)  6 Pd 2.69-2.97
Pd (0.4827, 0.7899, 0.5363)  5 Pd 2.63-2.93, 2 Zr 2.69-2.70
Pd (0.4637, 0.5173, 0.2101)  5 Pd 2.63-2.93, 2 Zr 2.69-2.70
Au (0.0000, 0.0000, 0.0000)  6 Pd 2.72, 6 Zr 3.01
Pd (0.7899, 0.5363, 0.4827)  5 Pd 2.63-2.93, 2 Zr 2.69-2.70
Pd (0.6246, 0.9557, 0.8694)  2 Pd 2.63-2.70, 1 Au 2.72, 3 Zr 2.77-2.85
Zr (0.1535, 0.7625, 0.3081)  6 Pd 2.69-2.97
Zr (0.3081, 0.1535, 0.7625)  6 Pd 2.69-2.97
Pd (0.0443, 0.1306, 0.3754)  2 Pd 2.63-2.70, 1 Au 2.72, 3 Zr 2.77-2.85
Zr (0.7625, 0.3081, 0.1535)  6 Pd 2.69-2.97
Pd (0.1306, 0.3754, 0.0443)  2 Pd 2.63-2.70, 1 Au 2.72, 3 Zr 2.77-2.85
Pd (0.8694, 0.6246, 0.9557)  2 Pd 2.63-2.70, 1 Au 2.72, 3 Zr 2.77-2.85
Pd (0.2101, 0.4637, 0.5173)  5 Pd 2.63-2.93, 2 Zr 2.69-2.70